# 1
A relaxed structure of BaAl2Fe. Source: Alexandria, functional GGA-PBE.

Unit cell a=5.954 b=5.954 c=3.032 alpha=90.00 beta=90.00 gamma=121.99
Fractional positions:
Ba (0.000, 0.000, 0.000)
Al (0.000, 0.500, 0.500)
Al (0.500, 0.000, 0.500)
Fe (0.500, 0.500, 0.000)

Values from the calculation:
The crystal system is orthorhombic.

# 2
A relaxed structure of BaAl2Fe. Source: Alexandria, functional GGA-PBE.

Unit cell a=8.411 b=8.411 c=8.411 alpha=141.76 beta=141.76 gamma=55.19
Fractional positions:
Ba (0.375, 0.625, 0.750)
Ba (0.625, 0.375, 0.250)
Al (0.000, 0.000, 0.000)
Al (0.000, 0.000, 0.500)
Al (0.000, 0.500, 0.000)
Al (0.500, 0.000, 0.500)
Fe (0.125, 0.875, 0.250)
Fe (0.875, 0.125, 0.750)

Values from the calculation:
The crystal system is tetragonal.

# 3
A relaxed structure of BaAlFe2. Source: Alexandria, functional GGA-PBE.

Unit cell a=6.185 b=6.185 c=6.185 alpha=40.60 beta=40.60 gamma=40.60
Fractional positions:
Ba (0.000, 0.000, 0.000)
Al (0.500, 0.500, 0.500)
Fe (0.182, 0.182, 0.182)
Fe (0.818, 0.818, 0.818)

Values from the calculation:
The crystal system is trigonal.

# 4
A relaxed structure of BaAl2Fe. Source: Alexandria, functional GGA-PBE.

Unit cell a=6.169 b=6.169 c=6.169 alpha=151.10 beta=127.15 gamma=61.36
Fractional positions:
Ba (0.000, 0.000, 0.000)
Al (0.303, 0.803, 0.500)
Al (0.697, 0.197, 0.500)
Fe (0.500, 0.500, 0.000)

Values from the calculation:
The crystal system is orthorhombic.

# 5
A relaxed structure of BaAl4Fe. Source: Alexandria, functional GGA-PBE.

Unit cell a=5.628 b=5.628 c=5.628 alpha=60.00 beta=60.00 gamma=60.00
Fractional positions:
Ba (0.000, 0.000, 0.000)
Al (0.375, 0.375, 0.375)
Al (0.375, 0.375, 0.874)
Al (0.375, 0.874, 0.375)
Al (0.874, 0.375, 0.375)
Fe (0.750, 0.750, 0.750)

Values from the calculation:
The crystal system is cubic.

# 6
A relaxed structure of BaAl2Fe. Source: Alexandria, functional GGA-PBE.

Unit cell a=5.035 b=5.035 c=5.035 alpha=60.00 beta=60.00 gamma=60.00
Fractional positions:
Ba (0.000, 0.000, 0.000)
Al (0.250, 0.250, 0.250)
Al (0.750, 0.750, 0.750)
Fe (0.500, 0.500, 0.500)

Values from the calculation:
The crystal system is cubic.

# 7
A relaxed structure of BaAlFe2. Source: Alexandria, functional GGA-PBE.

Unit cell a=5.954 b=5.954 c=5.954 alpha=150.14 beta=125.81 gamma=63.10
Fractional positions:
Ba (0.000, 0.000, 0.000)
Al (0.695, 0.195, 0.500)
Fe (0.301, 0.801, 0.500)
Fe (0.480, 0.480, 0.000)

Values from the calculation:
The crystal system is orthorhombic.

# 8
A relaxed structure of BaAlFe. Source: Alexandria, functional GGA-PBE.

Unit cell a=5.255 b=5.255 c=5.255 alpha=60.00 beta=60.00 gamma=60.00
Fractional positions:
Ba (0.000, 0.000, 0.000)
Al (0.750, 0.750, 0.750)
Fe (0.250, 0.250, 0.250)

Values from the calculation:
The crystal system is cubic.

# 9
A relaxed structure of BaAlGa2Fe. Source: Alexandria, functional GGA-PBE.

Unit cell a=4.736 b=4.736 c=4.698 alpha=90.00 beta=90.00 gamma=90.00
Fractional positions:
Ba (0.000, 0.000, 0.000)
Al (0.500, 0.500, 0.000)
Ga (0.000, 0.500, 0.500)
Ga (0.500, 0.000, 0.500)
Fe (0.500, 0.500, 0.500)

Values from the calculation:
The crystal system is tetragonal.

# 10
A relaxed structure of BaLaAl2Fe. Source: Alexandria, functional GGA-PBE.

Unit cell a=4.978 b=4.978 c=5.019 alpha=90.00 beta=90.00 gamma=90.00
Fractional positions:
Ba (0.000, 0.000, 0.000)
La (0.500, 0.500, 0.000)
Al (0.000, 0.500, 0.500)
Al (0.500, 0.000, 0.500)
Fe (0.500, 0.500, 0.500)

Values from the calculation:
The crystal system is tetragonal.

What did we get for formation energy from the elements? Answer: 638, 246, 130, 369, 269, 491, 604, 1288, -314, -135 meV/atom, in the order shown.
What did we get for E? Answer: -3.83, -4.22, -5.52, -4.10, -3.96, -3.98, -5.04, -3.42, -4.35, -4.69 eV per atom, in the order shown.